# Zn2Cd2MoO6

An optimized crystal structure of Zn2Cd2MoO6 (PBE+U, Alexandria).

Results
Total energy (eV/f.u.): -53.4
Mass density (g/cm³): 5.4

Cell and atoms, written as extended XYZ:
```
11
Lattice="5.401 0.000 0.000 -2.700 4.677 0.000 0.000 0.000 6.610" Properties=species:S:1:pos:R:3 pbc="T T T"
Zn 0.000 3.118 1.225
Zn 2.700 1.559 5.385
Cd 0.000 3.118 4.194
Cd 2.700 1.559 2.416
Mo 0.000 0.000 0.000
O 0.783 1.404 5.495
O -1.876 3.297 5.495
O 1.093 4.654 5.495
O 1.917 3.274 1.115
O 4.577 1.380 1.115
O 1.607 0.023 1.115
```